Entry 1:
Entry from OQMD: an optimized crystal structure of DyTm2Hg (PBE).

Computed properties:
Raw total energy: -58.6 eV/cell
Energy of formation: -199 meV per atom
Polymorph energy (0 for the lowest one): 0 meV per atom

a = 5.073 Å, b = 10.505 Å, c = 8.254 Å
α = 90.00°, β = 90.00°, γ = 90.00°
Element x y z (fractional)
Dy: 0.250 0.114 0.000
Dy: 0.250 0.614 0.500
Dy: 0.750 0.386 0.500
Dy: 0.750 0.886 0.000
Tm: 0.250 0.113 0.581
Tm: 0.250 0.391 0.792
Tm: 0.250 0.613 0.081
Tm: 0.250 0.891 0.292
Tm: 0.750 0.109 0.292
Tm: 0.750 0.387 0.081
Tm: 0.750 0.609 0.792
Tm: 0.750 0.887 0.581
Hg: 0.250 0.321 0.289
Hg: 0.250 0.821 0.789
Hg: 0.750 0.179 0.789
Hg: 0.750 0.679 0.289


Entry 2:
Entry from OQMD: an optimized crystal structure of DyTmHg2 (PBE).

Computed properties:
Raw total energy: -46.4 eV/cell
Energy of formation: -481 meV per atom
Polymorph energy (0 for the lowest one): 0 meV per atom

a = 7.325 Å, b = 10.514 Å, c = 5.219 Å
α = 90.00°, β = 90.00°, γ = 90.00°
Element x y z (fractional)
Dy: 0.000 0.130 0.250
Dy: 0.000 0.870 0.750
Dy: 0.500 0.370 0.750
Dy: 0.500 0.630 0.250
Tm: 0.000 0.374 0.750
Tm: 0.000 0.626 0.250
Tm: 0.500 0.126 0.250
Tm: 0.500 0.874 0.750
Hg: 0.248 0.380 0.250
Hg: 0.248 0.620 0.750
Hg: 0.252 0.120 0.750
Hg: 0.252 0.880 0.250
Hg: 0.748 0.120 0.750
Hg: 0.748 0.880 0.250
Hg: 0.752 0.380 0.250
Hg: 0.752 0.620 0.750


Entry 3:
Entry from OQMD: an optimized crystal structure of DyTmHg2 (PBE).

Computed properties:
Raw total energy: -43.2 eV/cell
Energy of formation: -283 meV per atom
Polymorph energy (0 for the lowest one): 198 meV per atom

a = 5.164 Å, b = 6.756 Å, c = 11.666 Å
α = 90.00°, β = 90.00°, γ = 90.00°
Element x y z (fractional)
Dy: 0.000 0.000 0.000
Dy: 0.000 0.500 0.500
Dy: 0.500 0.000 0.363
Dy: 0.500 0.500 0.863
Tm: 0.500 0.237 0.619
Tm: 0.500 0.263 0.119
Tm: 0.500 0.737 0.119
Tm: 0.500 0.763 0.619
Hg: 0.000 0.000 0.527
Hg: 0.000 0.245 0.265
Hg: 0.000 0.255 0.765
Hg: 0.000 0.500 0.027
Hg: 0.000 0.745 0.765
Hg: 0.000 0.755 0.265
Hg: 0.500 0.000 0.863
Hg: 0.500 0.500 0.363


Entry 4:
Entry from OQMD: an optimized crystal structure of Dy2TmHg5 (PBE).

Computed properties:
Raw total energy: -37.0 eV/cell
Energy of formation: -416 meV per atom

a = 5.101 Å, b = 7.310 Å, c = 10.468 Å
α = 90.00°, β = 90.00°, γ = 90.00°
Element x y z (fractional)
Dy: 0.000 0.000 0.000
Dy: 0.000 0.500 0.500
Dy: 0.500 0.000 0.300
Dy: 0.500 0.500 0.800
Tm: 0.500 0.000 0.748
Tm: 0.500 0.500 0.248
Hg: 0.000 0.000 0.496
Hg: 0.000 0.246 0.746
Hg: 0.000 0.254 0.246
Hg: 0.000 0.500 0.996
Hg: 0.000 0.746 0.246
Hg: 0.000 0.754 0.746
Hg: 0.500 0.225 0.028
Hg: 0.500 0.275 0.528
Hg: 0.500 0.725 0.528
Hg: 0.500 0.775 0.028


Entry 5:
Entry from OQMD: an optimized crystal structure of Dy2Tm3Hg3 (PBE).

Computed properties:
Raw total energy: -50.0 eV/cell
Energy of formation: -185 meV per atom
Polymorph energy (0 for the lowest one): 90 meV per atom

a = 5.529 Å, b = 7.375 Å, c = 10.488 Å
α = 90.00°, β = 90.00°, γ = 90.00°
Element x y z (fractional)
Dy: 0.000 0.000 0.000
Dy: 0.000 0.500 0.500
Dy: 0.500 0.000 0.358
Dy: 0.500 0.500 0.858
Tm: 0.000 0.000 0.556
Tm: 0.000 0.500 0.056
Tm: 0.500 0.242 0.613
Tm: 0.500 0.258 0.113
Tm: 0.500 0.742 0.113
Tm: 0.500 0.758 0.613
Hg: 0.000 0.210 0.275
Hg: 0.000 0.290 0.775
Hg: 0.000 0.710 0.775
Hg: 0.000 0.790 0.275
Hg: 0.500 0.000 0.861
Hg: 0.500 0.500 0.361


Entry 6:
Entry from OQMD: an optimized crystal structure of DyTmHg2 (PBE).

Computed properties:
Raw total energy: -43.4 eV/cell
Energy of formation: -292 meV per atom
Polymorph energy (0 for the lowest one): 189 meV per atom

a = 5.445 Å, b = 12.048 Å, c = 6.304 Å
α = 90.00°, β = 90.00°, γ = 90.00°
Element x y z (fractional)
Dy: 0.250 0.159 0.000
Dy: 0.250 0.659 0.500
Dy: 0.750 0.341 0.500
Dy: 0.750 0.841 0.000
Tm: 0.250 0.421 0.181
Tm: 0.250 0.921 0.681
Tm: 0.750 0.079 0.681
Tm: 0.750 0.579 0.181
Hg: 0.250 0.174 0.495
Hg: 0.250 0.418 0.693
Hg: 0.250 0.674 0.995
Hg: 0.250 0.918 0.193
Hg: 0.750 0.082 0.193
Hg: 0.750 0.326 0.995
Hg: 0.750 0.582 0.693
Hg: 0.750 0.826 0.495